1.
# NaEr4In5

A relaxed NaEr4In5 crystal (PBE, Alexandria).

Cell lengths 3.7001, 3.7001, 19.1025 Å; angles 90.00, 90.00, 90.00 degrees
With the nearest neighbours (Å) after each atom.
Sites, in units of the cell vectors:
1 Na 0.0000 0.0000 0.0000  8 In 3.27
2 Er 0.0000 0.0000 0.1989  8 In 3.20-3.26
3 Er 0.0000 0.0000 0.4003  8 In 3.23-3.24
4 Er 0.0000 0.0000 0.5997  8 In 3.23-3.24
5 Er 0.0000 0.0000 0.8011  8 In 3.20-3.26
6 In 0.5000 0.5000 0.1028  4 Er 3.20, 4 Na 3.27
7 In 0.5000 0.5000 0.3008  8 Er 3.23-3.26
8 In 0.5000 0.5000 0.5000  8 Er 3.24
9 In 0.5000 0.5000 0.6992  8 Er 3.23-3.26
10 In 0.5000 0.5000 0.8972  4 Er 3.20, 4 Na 3.27

Output
**Energy**: -3.691 eV/atom
**Energy of formation**: -0.365 eV/atom
**V**: 26.15 Å³/atom
**Space-group type**: P4/mmm, No. 123
**Magnetization**: 0.000 μB per atom

2.
# Nb3V2H4

A relaxed Nb3V2H4 crystal (PBE, Alexandria).

Cell lengths 2.7108, 4.8773, 7.6181 Å; angles 107.81, 90.00, 106.13 degrees
With the nearest neighbours (Å) after each atom.
Sites, in units of the cell vectors:
1 Nb 0.3953 0.7906 0.6085  4 H 2.24-2.35
2 Nb 0.0000 0.0000 0.0000  4 H 2.03
3 Nb 0.6047 0.2094 0.3915  4 H 2.24-2.35
4 V 0.2990 0.5980 0.1950  5 H 1.92-1.96
5 V 0.7010 0.4020 0.8050  5 H 1.92-1.96
6 H 0.6698 0.3397 0.0476  3 V 1.92-1.96, 2 Nb 2.03
7 H 0.1037 0.2075 0.6247  2 V 1.94
8 H 0.8963 0.7925 0.3753  2 V 1.94
9 H 0.3302 0.6603 0.9524  3 V 1.92-1.96, 2 Nb 2.03

Output
**Energy**: -6.880 eV/atom
**V**: 10.19 Å³/atom
**Space-group type**: C2/m, No. 12
**Magnetization**: 0.000 μB per atom

3.
# Li2Mg4Al3

A relaxed Li2Mg4Al3 crystal (PBE, Alexandria).

Cell lengths 4.7389, 4.7399, 8.7947 Å; angles 89.95, 90.03, 59.99 degrees
With the nearest neighbours (Å) after each atom.
Sites, in units of the cell vectors:
1 Li 0.3324 0.3350 0.7774  1 Al 2.83, 7 Mg 2.90-2.96
2 Li 0.6676 0.6650 0.2226  1 Al 2.83, 7 Mg 2.90-2.96
3 Mg 0.6663 0.6674 0.8858  4 Li 2.90-2.96, 4 Al 2.91-3.01
4 Mg 0.0012 0.9978 0.3309  3 Li 2.90, 4 Al 2.91-2.95, 1 Mg 2.97
5 Mg 0.9988 0.0022 0.6691  3 Li 2.90, 4 Al 2.91-2.95, 1 Mg 2.97
6 Mg 0.3337 0.3326 0.1142  4 Li 2.90-2.96, 4 Al 2.91-3.01
7 Al 0.3337 0.3327 0.4561  1 Li 2.83, 3 Al 2.84-2.85, 4 Mg 2.94-3.01
8 Al 0.0000 0.0000 0.0000  8 Mg 2.91-2.92
9 Al 0.6663 0.6673 0.5439  1 Li 2.83, 3 Al 2.84-2.85, 4 Mg 2.94-3.01

Output
**Energy**: -2.421 eV/atom
**Energy of formation**: -0.040 eV/atom
**V**: 19.01 Å³/atom
**Space-group type**: C2/m, No. 12
**Magnetization**: 0.000 μB per atom

4.
# Pm5DyMg3

A relaxed Pm5DyMg3 crystal (PBE, Alexandria).

Cell lengths 7.0191, 9.5580, 9.5577 Å; angles 120.00, 90.00, 90.00 degrees
With the nearest neighbours (Å) after each atom.
Sites, in units of the cell vectors:
1 Pm 0.0000 0.6667 0.3333  8 Pm 3.51-3.64, 6 Mg 3.65
2 Pm 0.5000 0.3333 0.6667  8 Pm 3.51-3.64, 6 Mg 3.65
3 Pm 0.0000 0.3333 0.6667  8 Pm 3.51-3.64, 6 Mg 3.65
4 Pm 0.5000 0.6667 0.3333  8 Pm 3.51-3.64, 6 Mg 3.65
5 Pm 0.7500 0.6680 0.6680  5 Mg 3.17-3.51
6 Pm 0.7500 0.0000 0.3320  5 Mg 3.17-3.51
7 Pm 0.7500 0.3320 0.0000  5 Mg 3.17-3.51
8 Pm 0.2500 0.3320 0.3320  5 Mg 3.17-3.51
9 Pm 0.2500 0.0000 0.6680  5 Mg 3.17-3.51
10 Pm 0.2500 0.6680 0.0000  5 Mg 3.17-3.51
11 Dy 0.0000 0.0000 0.0000  2 Dy 3.51, 6 Mg 3.62, 6 Pm 3.63
12 Dy 0.5000 0.0000 0.0000  2 Dy 3.51, 6 Mg 3.62, 6 Pm 3.63
13 Mg 0.7500 0.3312 0.3312  5 Pm 3.17-3.51
14 Mg 0.7500 0.0000 0.6688  5 Pm 3.17-3.51
15 Mg 0.7500 0.6688 0.0000  5 Pm 3.17-3.51
16 Mg 0.2500 0.6688 0.6688  5 Pm 3.17-3.51
17 Mg 0.2500 0.0000 0.3312  5 Pm 3.17-3.51
18 Mg 0.2500 0.3312 0.0000  5 Pm 3.17-3.51

Output
**Energy**: -3.683 eV/atom
**Energy of formation**: -0.001 eV/atom
**V**: 30.85 Å³/atom
**Space-group type**: P6_3/mcm, No. 193
**Magnetization**: 0.000 μB per atom

5.
# Hf2CuIr2

A relaxed Hf2CuIr2 crystal (PBE, Alexandria).

Cell lengths 7.7338, 7.7338, 3.0595 Å; angles 90.00, 90.00, 90.00 degrees
With the nearest neighbours (Å) after each atom.
Sites, in units of the cell vectors:
1 Ir 0.1414 0.6414 0.5000  6 Hf 2.72-2.75
2 Ir 0.6414 0.8586 0.5000  6 Hf 2.72-2.75
3 Ir 0.8586 0.3586 0.5000  6 Hf 2.72-2.75
4 Ir 0.3586 0.1414 0.5000  6 Hf 2.72-2.75
5 Hf 0.3466 0.8466 0.0000  6 Ir 2.72-2.75, 2 Cu 2.93
6 Hf 0.8466 0.6534 0.0000  6 Ir 2.72-2.75, 2 Cu 2.93
7 Hf 0.6534 0.1534 0.0000  6 Ir 2.72-2.75, 2 Cu 2.93
8 Hf 0.1534 0.3466 0.0000  6 Ir 2.72-2.75, 2 Cu 2.93
9 Cu 0.0000 0.0000 0.0000  4 Hf 2.93, 2 Cu 3.06
10 Cu 0.5000 0.5000 0.0000  4 Hf 2.93, 2 Cu 3.06

Output
**Offset from the most stable computed form**: 16.4 kJ per mole of atoms
**Energy**: -8.765 eV/atom
**Energy of formation**: -0.420 eV/atom
**V**: 18.30 Å³/atom
**Space-group type**: P4/mbm, No. 127
**Magnetization**: 0.000 μB per atom

6.
# Li5CuHg4

A relaxed Li5CuHg4 crystal (PBE, Alexandria).

Cell lengths 3.3807, 3.3807, 15.4256 Å; angles 90.00, 90.00, 90.00 degrees
With the nearest neighbours (Å) after each atom.
Sites, in units of the cell vectors:
1 Li 0.5000 0.5000 0.0860  1 Li 2.65, 4 Cu 2.73, 4 Hg 2.81
2 Li 0.5000 0.5000 0.2893  8 Hg 2.88-2.91, 1 Li 3.14
3 Li 0.5000 0.5000 0.5000  8 Hg 2.90
4 Li 0.5000 0.5000 0.7107  8 Hg 2.88-2.91, 1 Li 3.14
5 Li 0.5000 0.5000 0.9140  1 Li 2.65, 4 Cu 2.73, 4 Hg 2.81
6 Cu 0.0000 0.0000 0.0000  8 Li 2.73, 2 Hg 2.81
7 Hg 0.0000 0.0000 0.1818  1 Cu 2.81, 8 Li 2.81-2.91
8 Hg 0.0000 0.0000 0.3940  8 Li 2.88-2.90
9 Hg 0.0000 0.0000 0.6060  8 Li 2.88-2.90
10 Hg 0.0000 0.0000 0.8182  1 Cu 2.81, 8 Li 2.81-2.91

Output
**Energy**: -1.765 eV/atom
**Energy of formation**: -0.277 eV/atom
**V**: 17.63 Å³/atom
**Space-group type**: P4/mmm, No. 123
**Magnetization**: 0.000 μB per atom

7.
# Ac8Te4P3Au

A relaxed Ac8Te4P3Au crystal (PBE, Alexandria).

Cell lengths 9.1306, 9.3163, 9.1305 Å; angles 119.34, 120.00, 90.00 degrees
With the nearest neighbours (Å) after each atom.
Sites, in units of the cell vectors:
1 Ac 0.2439 0.7227 0.9787  2 P 3.12, 1 Au 3.18, 3 Te 3.35-3.41
2 Ac 0.2439 0.7226 0.4879  2 P 3.12, 1 Au 3.18, 3 Te 3.35-3.41
3 Ac 0.2613 0.2840 0.5227  3 P 3.11, 3 Te 3.42
4 Ac 0.7348 0.7227 0.9787  2 P 3.12, 1 Au 3.18, 3 Te 3.35-3.41
5 Ac 0.2652 0.2773 0.0213  2 P 3.12, 1 Au 3.18, 3 Te 3.35-3.41
6 Ac 0.7387 0.7160 0.4773  3 P 3.11, 3 Te 3.42
7 Ac 0.7561 0.2774 0.5121  2 P 3.12, 1 Au 3.18, 3 Te 3.35-3.41
8 Ac 0.7561 0.2773 0.0213  2 P 3.12, 1 Au 3.18, 3 Te 3.35-3.41
9 Te 0.5000 0.0000 0.0000  6 Ac 3.35
10 Te 0.5000 0.0000 0.5000  6 Ac 3.41-3.42
11 Te 0.0000 0.0000 0.0000  6 Ac 3.41-3.42
12 Te 0.0000 0.0000 0.5000  6 Ac 3.41-3.42
13 P 0.5000 0.5000 0.0000  6 Ac 3.11-3.12
14 P 0.5000 0.5000 0.5000  6 Ac 3.11-3.12
15 P 0.0000 0.5000 0.5000  6 Ac 3.11-3.12
16 Au 0.0000 0.5000 0.0000  6 Ac 3.18

Output
**Energy relative to the elements, uncorrected**: -1.43 eV per atom
**Energy**: -5.492 eV/atom
**V**: 34.66 Å³/atom
**Space-group type**: R-3m, No. 166
**Magnetization**: 0.000 μB per atom

8.
# TlCo2Cl

A relaxed TlCo2Cl crystal (PBE, Alexandria).

Cell lengths 3.4098, 3.3975, 7.3944 Å; angles 89.55, 90.00, 90.00 degrees
With the nearest neighbours (Å) after each atom.
Sites, in units of the cell vectors:
1 Tl 0.0000 0.3699 0.4194  4 Co 2.89
2 Co 0.0000 0.8752 0.1030  2 Cl 2.40, 4 Co 2.41
3 Co 0.5000 0.3754 0.1034  2 Cl 2.40, 4 Co 2.41
4 Cl 0.5000 0.8795 0.8743  4 Co 2.40

Output
**Energy relative to the elements, uncorrected**: 0.27 eV per atom
**Offset from the most stable computed form**: 2.8 kJ per mole of atoms
**Energy**: -4.341 eV/atom
**V**: 21.41 Å³/atom
**Space-group type**: Pm, No. 6
**Magnetization**: 0.855 μB per atom

9.
# CoAgPb2

A relaxed CoAgPb2 crystal (PBE, Alexandria).

Cell lengths 5.0043, 5.0043, 3.4351 Å; angles 90.00, 90.00, 89.99 degrees
With the nearest neighbours (Å) after each atom.
Sites, in units of the cell vectors:
1 Ag 0.5000 0.0000 0.5000  8 Pb 3.03
2 Co 0.0000 0.5000 0.5000  8 Pb 3.03
3 Pb 0.0000 0.0000 0.0000  4 Ag 3.03, 4 Co 3.03
4 Pb 0.5000 0.5000 0.0000  4 Co 3.03, 4 Ag 3.03

Output
**Offset from the most stable computed form**: 12.1 kJ per mole of atoms
**Energy**: -3.894 eV/atom
**Energy of formation**: 0.449 eV/atom
**V**: 21.51 Å³/atom
**Space-group type**: P4/mmm, No. 123
**Magnetization**: 0.335 μB per atom

10.
# PuHfHgPb

A relaxed PuHfHgPb crystal (PBE, Alexandria).

Cell lengths 5.2044, 5.2044, 5.2044 Å; angles 60.00, 60.00, 60.00 degrees
With the nearest neighbours (Å) after each atom.
Sites, in units of the cell vectors:
1 Pb 0.2500 0.2500 0.2500  4 Hf 3.19, 4 Pu 3.19
2 Hf 0.0000 0.0000 0.0000  4 Hg 3.19, 4 Pb 3.19
3 Hg 0.7500 0.7500 0.7500  4 Hf 3.19, 4 Pu 3.19
4 Pu 0.5000 0.5000 0.5000  4 Hg 3.19, 4 Pb 3.19

Output
**Energy**: -7.024 eV/atom
**Energy of formation**: 0.050 eV/atom
**V**: 24.92 Å³/atom
**Space-group type**: F-43m, No. 216
**Magnetization**: 1.720 μB per atom

11.
# Nd3HoBi4

A relaxed Nd3HoBi4 crystal (PBE, Alexandria).

Cell lengths 6.4661, 6.4661, 6.4661 Å; angles 90.00, 90.00, 90.00 degrees
With the nearest neighbours (Å) after each atom.
Sites, in units of the cell vectors:
1 Nd 0.0000 0.5000 0.5000  6 Bi 3.23
2 Nd 0.5000 0.0000 0.5000  6 Bi 3.23
3 Nd 0.5000 0.5000 0.0000  6 Bi 3.23
4 Ho 0.0000 0.0000 0.0000  6 Bi 3.23
5 Bi 0.5000 0.0000 0.0000  2 Ho 3.23, 4 Nd 3.23
6 Bi 0.0000 0.5000 0.0000  2 Ho 3.23, 4 Nd 3.23
7 Bi 0.0000 0.0000 0.5000  2 Ho 3.23, 4 Nd 3.23
8 Bi 0.5000 0.5000 0.5000  6 Nd 3.23

Output
**Energy**: -5.218 eV/atom
**Energy of formation**: -0.917 eV/atom
**V**: 33.79 Å³/atom
**Space-group type**: Pm-3m, No. 221
**Magnetization**: 0.000 μB per atom

12.
# TcHg3

A relaxed TcHg3 crystal (PBE, Alexandria).

Cell lengths 4.6151, 5.9268, 5.9747 Å; angles 90.00, 90.00, 90.00 degrees
With the nearest neighbours (Å) after each atom.
Sites, in units of the cell vectors:
1 Tc 0.0000 0.3339 0.0000  8 Hg 2.87-3.00
2 Tc 0.5000 0.6661 0.5000  8 Hg 2.87-3.00
3 Hg 0.5000 0.6233 0.0000  4 Tc 2.87-3.00, 6 Hg 3.06-3.16
4 Hg 0.0000 0.8475 0.2512  7 Hg 2.93-3.16, 3 Tc 2.95-3.25
5 Hg 0.5000 0.1525 0.2488  7 Hg 2.93-3.16, 3 Tc 2.95-3.25
6 Hg 0.0000 0.3767 0.5000  4 Tc 2.87-3.00, 6 Hg 3.06-3.16
7 Hg 0.0000 0.8475 0.7488  7 Hg 2.93-3.16, 3 Tc 2.95-3.25
8 Hg 0.5000 0.1525 0.7512  7 Hg 2.93-3.16, 3 Tc 2.95-3.25

Output
**Offset from the most stable computed form**: 29.4 kJ per mole of atoms
**Energy**: -2.171 eV/atom
**Energy of formation**: 0.647 eV/atom
**V**: 20.43 Å³/atom
**Space-group type**: Pmmn, No. 59
**Magnetization**: 0.385 μB per atom

Copy entry 10 word for word.
# PuHfHgPb

A relaxed PuHfHgPb crystal (PBE, Alexandria).

Cell lengths 5.2044, 5.2044, 5.2044 Å; angles 60.00, 60.00, 60.00 degrees
With the nearest neighbours (Å) after each atom.
Sites, in units of the cell vectors:
1 Pb 0.2500 0.2500 0.2500  4 Hf 3.19, 4 Pu 3.19
2 Hf 0.0000 0.0000 0.0000  4 Hg 3.19, 4 Pb 3.19
3 Hg 0.7500 0.7500 0.7500  4 Hf 3.19, 4 Pu 3.19
4 Pu 0.5000 0.5000 0.5000  4 Hg 3.19, 4 Pb 3.19

Output
**Energy**: -7.024 eV/atom
**Energy of formation**: 0.050 eV/atom
**V**: 24.92 Å³/atom
**Space-group type**: F-43m, No. 216
**Magnetization**: 1.720 μB per atom

Q: Which value of V does entry 7 give?
A: 34.66 Å³/atom